[1]
Here is an optimized crystal structure of Sr2Si3AgPd12 from Alexandria. Energies are from PBE-GGA.

Output
- formation energy (no corrections) (eV per formula unit) = -5.138

Cell: 6.896 6.896 6.896 Å, 84.22 84.22 84.22°
Element x y z (fractional)
Sr1 0.124 0.124 0.124
Sr2 0.876 0.876 0.876
Si1 0.000 0.500 0.500
Si2 0.500 0.000 0.500
Si3 0.500 0.500 0.000
Ag1 0.500 0.500 0.500
Pd1 0.137 0.137 0.573
Pd2 0.137 0.573 0.137
Pd3 0.176 0.677 0.677
Pd4 0.323 0.323 0.824
Pd5 0.323 0.824 0.323
Pd6 0.427 0.863 0.863
Pd7 0.573 0.137 0.137
Pd8 0.677 0.176 0.677
Pd9 0.677 0.677 0.176
Pd10 0.824 0.323 0.323
Pd11 0.863 0.427 0.863
Pd12 0.863 0.863 0.427


[2]
Here is an optimized crystal structure of Dy6HgP3S2 from Alexandria. Energies are from PBE-GGA.

Output
- formation energy (no corrections) (eV per formula unit) = -18.605

Cell: 8.965 8.965 8.123 Å, 102.29 102.29 25.69°
Element x y z (fractional)
Dy1 0.002 0.002 0.272
Dy2 0.325 0.325 0.912
Dy3 0.335 0.335 0.409
Dy4 0.665 0.665 0.591
Dy5 0.675 0.675 0.088
Dy6 0.998 0.998 0.728
Hg1 0.500 0.500 0.000
P1 0.165 0.165 0.835
P2 0.500 0.500 0.500
P3 0.835 0.835 0.165
S1 0.170 0.170 0.341
S2 0.830 0.830 0.659


[3]
Here is an optimized crystal structure of Na3NdAu4 from Alexandria. Energies are from PBE-GGA.

Output
- energy of formation from the pure elements (kcal/mol of atoms) = -10.4

Cell: 8.809 8.809 8.809 Å, 33.45 33.45 33.45°
Element x y z (fractional)
Na1 0.000 0.000 0.000
Na2 0.257 0.257 0.257
Na3 0.743 0.743 0.743
Nd1 0.500 0.500 0.500
Au1 0.126 0.126 0.126
Au2 0.379 0.379 0.379
Au3 0.621 0.621 0.621
Au4 0.874 0.874 0.874


[4]
Here is an optimized crystal structure of PbI2N2 from Alexandria. Energies are from PBE-GGA.

Output
- formation energy (no corrections) (eV per formula unit) = 7.976
- E above lowest polymorph (kJ per mole of atoms) = 191.6

Cell: 4.770 4.770 10.139 Å, 90.00 90.00 90.00°
Element x y z (fractional)
Pb1 0.000 0.000 0.000
Pb2 0.500 0.500 0.500
I1 0.000 0.000 0.308
I2 0.000 0.000 0.692
I3 0.500 0.500 0.192
I4 0.500 0.500 0.808
N1 0.000 0.500 0.250
N2 0.000 0.500 0.750
N3 0.500 0.000 0.250
N4 0.500 0.000 0.750


[5]
Here is an optimized crystal structure of LiPrSnRu from Alexandria. Energies are from PBE-GGA.

Output
- energy of formation from the pure elements (kcal/mol of atoms) = -7.2

Cell: 6.843 6.843 6.843 Å, 90.00 90.00 90.00°
Element x y z (fractional)
Li1 0.000 0.000 0.000
Li2 0.000 0.500 0.500
Li3 0.500 0.000 0.500
Li4 0.500 0.500 0.000
Pr1 0.250 0.250 0.750
Pr2 0.250 0.750 0.250
Pr3 0.750 0.250 0.250
Pr4 0.750 0.750 0.750
Sn1 0.250 0.250 0.250
Sn2 0.250 0.750 0.750
Sn3 0.750 0.250 0.750
Sn4 0.750 0.750 0.250
Ru1 0.000 0.000 0.500
Ru2 0.000 0.500 0.000
Ru3 0.500 0.000 0.000
Ru4 0.500 0.500 0.500


[6]
Here is an optimized crystal structure of RbIr2Rh from Alexandria. Energies are from PBE-GGA.

Output
- energy of formation from the pure elements (kcal/mol of atoms) = 36.0
- E above lowest polymorph (kJ per mole of atoms) = 52.7

Cell: 6.654 6.654 6.654 Å, 90.00 90.00 90.00°
Element x y z (fractional)
Rb1 0.000 0.000 0.000
Rb2 0.000 0.500 0.500
Rb3 0.500 0.000 0.500
Rb4 0.500 0.500 0.000
Ir1 0.250 0.250 0.250
Ir2 0.250 0.250 0.750
Ir3 0.250 0.750 0.250
Ir4 0.250 0.750 0.750
Ir5 0.750 0.250 0.250
Ir6 0.750 0.250 0.750
Ir7 0.750 0.750 0.250
Ir8 0.750 0.750 0.750
Rh1 0.000 0.000 0.500
Rh2 0.000 0.500 0.000
Rh3 0.500 0.000 0.000
Rh4 0.500 0.500 0.500


[7]
Here is an optimized crystal structure of SiIN2F from Alexandria. Energies are from PBE-GGA.

Output
- formation energy (no corrections) (eV per formula unit) = 7.242
- E above lowest polymorph (kJ per mole of atoms) = 113.0

Cell: 4.185 4.185 4.346 Å, 90.00 90.00 90.00°
Element x y z (fractional)
Si1 0.000 0.000 0.000
I1 0.500 0.500 0.500
N1 0.000 0.500 0.500
N2 0.500 0.000 0.500
F1 0.500 0.500 0.000


Magnetization readings, ordered: 0.000; 0.000; 0.000; 0.000; 0.000; 0.904; 0.000 μB/atom
N(E_F) readings, ordered: 0.32; 0.36; 0.34; 0.72; 1.10; 1.34; 0.20 states/eV/atom